## Sr2Al (GGA-PBE)

Data for a geometry-optimized Sr2Al structure.

Summary:
As for the volume: 346 Å³ per cell. Its energy is -2.427 eV/atom. For the density of states at the Fermi level, the calculation gives 1.12 states/eV per atom.

Cell lengths 8.7330, 8.7330, 5.2408 Å; angles 90.00, 90.00, 120.00 degrees
Last column: nearest neighbours and their distance in Å.
Fractional positions:
Al  0.3333  0.6667  0.0000  9 Sr 3.32-3.72
Al  0.0000  0.0000  0.5000  9 Sr 3.43-3.60
Al  0.6667  0.3333  0.0000  9 Sr 3.32-3.72
Sr  0.0000  0.5876  0.5000  5 Al 3.60-3.72, 2 Sr 3.93
Sr  0.4124  0.4124  0.5000  5 Al 3.60-3.72, 2 Sr 3.93
Sr  0.0000  0.2530  0.0000  4 Al 3.32-3.43
Sr  0.5876  0.0000  0.5000  5 Al 3.60-3.72, 2 Sr 3.93
Sr  0.7470  0.7470  0.0000  4 Al 3.32-3.43
Sr  0.2530  0.0000  0.0000  4 Al 3.32-3.43


## Y2TaNiAs (GGA-PBE)

Data for a geometry-optimized Y2TaNiAs structure.

Summary:
As for the volume: 145 Å³ per cell. Its energy is -6.283 eV/atom. For the density of states at the Fermi level, the calculation gives 1.25 states/eV per atom.

Cell lengths 5.4820, 5.4820, 4.8212 Å; angles 90.00, 90.00, 90.00 degrees
Last column: nearest neighbours and their distance in Å.
Fractional positions:
Ta  0.0000  0.0000  0.0000  2 As 2.41
Y  0.0000  0.5000  0.0000  2 Ta 2.74
Y  0.5000  0.0000  0.0000  2 Ta 2.74
As  0.0000  0.0000  0.5000  2 Ta 2.41
Ni  0.5000  0.5000  0.5000  8 Y 3.65, 4 As 3.88


## AgGe2Pd5 (GGA-PBE)

Data for a geometry-optimized AgGe2Pd5 structure.

Summary:
As for the volume: 128 Å³ per cell. Its energy is -5.097 eV/atom. For the density of states at the Fermi level, the calculation gives 0.42 states/eV per atom.

Cell lengths 3.0223, 6.9145, 6.9145 Å; angles 67.08, 77.38, 77.38 degrees
Last column: nearest neighbours and their distance in Å.
Fractional positions:
Pd  0.0000  0.5000  0.5000  2 Ge 2.51
Pd  0.6356  0.6103  0.1184  3 Ge 2.48-2.61
Pd  0.3644  0.8816  0.3897  3 Ge 2.48-2.61
Pd  0.3644  0.3897  0.8816  3 Ge 2.48-2.61
Pd  0.6356  0.1184  0.6103  3 Ge 2.48-2.61
Ge  0.2260  0.2740  0.2740  7 Pd 2.48-2.61
Ge  0.7740  0.7260  0.7260  7 Pd 2.48-2.61
Ag  0.0000  0.0000  0.0000  8 Pd 2.89, 2 Ag 3.02